Record 1
The following is a DFT calculation (PBE-GGA) of a relaxed NdGd2Al3Cu2Ni crystal.

Values from the calculation:
Total magnetization = 0.00 μB per formula unit

Structure (CIF):
```
data_NdGd2Al3Cu2Ni
_space_group_name_H-M_alt 'A m m 2'
_space_group_IT_number 38
_cell_length_a 4.018
_cell_length_b 12.175
_cell_length_c 7.120
_cell_angle_alpha 90.00
_cell_angle_beta 90.00
_cell_angle_gamma 90.00
loop_
_space_group_symop_operation_xyz
'x,y,z'
'-x,-y,z'
'-x,y,z'
'x,-y,z'
'x,y+1/2,z+1/2'
'-x,-y+1/2,z+1/2'
'-x,y+1/2,z+1/2'
'x,-y+1/2,z+1/2'
loop_
_atom_site_label
_atom_site_fract_x
_atom_site_fract_y
_atom_site_fract_z
Nd1 0.000 0.000 0.000
Gd1 0.000 0.206 0.620
Al1 0.500 0.000 0.639
Al2 0.500 0.115 0.304
Cu1 0.500 0.170 0.913
Ni1 0.000 0.000 0.419
```


Record 2
The following is a DFT calculation (PBE-GGA) of a relaxed HoBeTlS3 crystal.

Values from the calculation:
Total magnetization = 0.00 μB per formula unit

Structure (CIF):
```
data_HoBeTlS3
_space_group_name_H-M_alt 'C m c m'
_space_group_IT_number 63
_space_group_name_Hall '-C 2c 2'
_cell_length_a 3.821
_cell_length_b 14.406
_cell_length_c 10.411
_cell_angle_alpha 90.00
_cell_angle_beta 90.00
_cell_angle_gamma 90.00
loop_
_atom_site_label
_atom_site_fract_x
_atom_site_fract_y
_atom_site_fract_z
Ho1 0.000 0.000 0.000
Be1 0.000 0.462 0.250
Tl1 0.000 0.252 0.750
S1 0.000 0.052 0.250
S2 0.000 0.382 0.083
```


Record 3
The following is a DFT calculation (PBE-GGA) of a relaxed Na2AsPd3 crystal.

Structure (CIF):
```
data_Na2AsPd3
_space_group_name_H-M_alt 'R -3 m'
_space_group_IT_number 166
_space_group_name_Hall '-R 3 2"'
_cell_length_a 5.6092
_cell_length_b 5.6092
_cell_length_c 11.7511
_cell_angle_alpha 90.00
_cell_angle_beta 90.00
_cell_angle_gamma 120.00
loop_
_atom_site_label
_atom_site_fract_x
_atom_site_fract_y
_atom_site_fract_z
Na1 0.0000 0.0000 0.1225
As1 0.0000 0.0000 0.5000
Pd1 0.0000 0.5000 0.0000
```


Record 4
The following is a DFT calculation (PBE-GGA) of a relaxed NiHg2B crystal.

Values from the calculation:
Total magnetization = 0.00 μB per formula unit

Structure (CIF):
```
data_NiHg2B
_space_group_name_H-M_alt 'F -4 3 m'
_space_group_IT_number 216
_space_group_name_Hall 'F -4 2 3'
_cell_length_a 6.374
_cell_length_b 6.374
_cell_length_c 6.374
_cell_angle_alpha 90.00
_cell_angle_beta 90.00
_cell_angle_gamma 90.00
loop_
_atom_site_label
_atom_site_fract_x
_atom_site_fract_y
_atom_site_fract_z
Ni1 0.000 0.000 0.000
Hg1 0.000 0.000 0.500
Hg2 0.250 0.250 0.250
B1 0.250 0.250 0.750
```


Record 5
The following is a DFT calculation (PBE-GGA) of a relaxed SmCoCl crystal.

Values from the calculation:
Total magnetization = 0.23 μB per formula unit

Structure (CIF):
```
data_SmCoCl
_space_group_name_H-M_alt 'R -3 m'
_space_group_IT_number 166
_space_group_name_Hall '-R 3 2"'
_cell_length_a 3.9322
_cell_length_b 3.9322
_cell_length_c 32.9682
_cell_angle_alpha 90.00
_cell_angle_beta 90.00
_cell_angle_gamma 120.00
loop_
_atom_site_label
_atom_site_fract_x
_atom_site_fract_y
_atom_site_fract_z
Sm1 0.0000 0.0000 0.0581
Co1 0.0000 0.0000 0.3353
Cl1 0.0000 0.0000 0.2218
```


Record 6
The following is a DFT calculation (PBE-GGA) of a relaxed ScInCoOs crystal.

Values from the calculation:
Offset from the most stable computed form = 0 meV per atom
Total magnetization = 0.28 μB per formula unit

Structure (CIF):
```
data_ScInCoOs
_space_group_name_H-M_alt 'F -4 3 m'
_space_group_IT_number 216
_space_group_name_Hall 'F -4 2 3'
_cell_length_a 6.367
_cell_length_b 6.367
_cell_length_c 6.367
_cell_angle_alpha 90.00
_cell_angle_beta 90.00
_cell_angle_gamma 90.00
loop_
_atom_site_label
_atom_site_fract_x
_atom_site_fract_y
_atom_site_fract_z
Sc1 0.000 0.000 0.000
In1 0.000 0.000 0.500
Co1 0.250 0.250 0.750
Os1 0.250 0.250 0.250
```


Record 7
The following is a DFT calculation (PBE-GGA) of a relaxed PaTcTe crystal.

Values from the calculation:
Offset from the most stable computed form = 0 meV per atom
Total magnetization = 1.71 μB per formula unit

Structure (CIF):
```
data_PaTcTe
_space_group_name_H-M_alt 'F -4 3 m'
_space_group_IT_number 216
_space_group_name_Hall 'F -4 2 3'
_cell_length_a 6.678
_cell_length_b 6.678
_cell_length_c 6.678
_cell_angle_alpha 90.00
_cell_angle_beta 90.00
_cell_angle_gamma 90.00
loop_
_atom_site_label
_atom_site_fract_x
_atom_site_fract_y
_atom_site_fract_z
Pa1 0.000 0.000 0.000
Tc1 0.000 0.000 0.500
Te1 0.250 0.250 0.250
```


Record 8
The following is a DFT calculation (PBE-GGA) of a relaxed PrNdPb crystal.

Values from the calculation:
Total magnetization = 1.90 μB per formula unit

Structure (CIF):
```
data_PrNdPb
_space_group_name_H-M_alt 'F -4 3 m'
_space_group_IT_number 216
_space_group_name_Hall 'F -4 2 3'
_cell_length_a 7.626
_cell_length_b 7.626
_cell_length_c 7.626
_cell_angle_alpha 90.00
_cell_angle_beta 90.00
_cell_angle_gamma 90.00
loop_
_atom_site_label
_atom_site_fract_x
_atom_site_fract_y
_atom_site_fract_z
Pr1 0.000 0.000 0.000
Nd1 0.250 0.250 0.750
Pb1 0.250 0.250 0.250
```


Record 9
The following is a DFT calculation (PBE-GGA) of a relaxed CuSe3Br crystal.

Structure (CIF):
```
data_CuSe3Br
_space_group_name_H-M_alt 'P m n a'
_space_group_IT_number 53
_cell_length_a 14.476
_cell_length_b 4.646
_cell_length_c 7.717
_cell_angle_alpha 90.00
_cell_angle_beta 90.00
_cell_angle_gamma 90.00
loop_
_space_group_symop_operation_xyz
'x,y,z'
'-x,-y,-z'
'-x+1/2,-y,z+1/2'
'x+1/2,y,-z+1/2'
'x,-y,-z'
'-x,y,z'
'-x+1/2,y,-z+1/2'
'x+1/2,-y,z+1/2'
loop_
_atom_site_label
_atom_site_fract_x
_atom_site_fract_y
_atom_site_fract_z
Cu1 0.250 0.203 0.250
Se1 0.000 0.158 0.230
Se2 0.127 0.098 0.648
Br1 0.186 0.500 0.000
```


Record 10
The following is a DFT calculation (PBE-GGA) of a relaxed Ba2PrTaO6 crystal.

Values from the calculation:
Total magnetization = 0.00 μB per formula unit

Structure (CIF):
```
data_Ba2PrTaO6
_space_group_name_H-M_alt 'C 1 2/m 1'
_space_group_IT_number 12
_cell_length_a 10.516
_cell_length_b 6.087
_cell_length_c 6.142
_cell_angle_alpha 90.00
_cell_angle_beta 125.17
_cell_angle_gamma 90.00
loop_
_space_group_symop_operation_xyz
'x,y,z'
'-x,-y,-z'
'-x,y,-z'
'x,-y,z'
'x+1/2,y+1/2,z'
'-x+1/2,-y+1/2,-z'
'-x+1/2,y+1/2,-z'
'x+1/2,-y+1/2,z'
loop_
_atom_site_label
_atom_site_fract_x
_atom_site_fract_y
_atom_site_fract_z
Ba1 0.248 0.000 0.242
Pr1 0.000 0.000 0.500
Ta1 0.000 0.500 0.000
O1 0.036 0.268 0.808
O2 0.229 0.500 0.295
```


Record 11
The following is a DFT calculation (PBE-GGA) of a relaxed Nb4Sn5Pd5 crystal.

Values from the calculation:
Total magnetization = 0.00 μB per formula unit

Structure (CIF):
```
data_Nb4Sn5Pd5
_space_group_name_H-M_alt 'I -4'
_space_group_IT_number 82
_cell_length_a 9.850
_cell_length_b 9.850
_cell_length_c 6.230
_cell_angle_alpha 90.00
_cell_angle_beta 90.00
_cell_angle_gamma 90.00
loop_
_space_group_symop_operation_xyz
'x,y,z'
'y,-x,-z'
'-x,-y,z'
'-y,x,-z'
'x+1/2,y+1/2,z+1/2'
'y+1/2,-x+1/2,-z+1/2'
'-x+1/2,-y+1/2,z+1/2'
'-y+1/2,x+1/2,-z+1/2'
loop_
_atom_site_label
_atom_site_fract_x
_atom_site_fract_y
_atom_site_fract_z
Nb1 0.100 0.300 0.002
Sn1 0.000 0.000 0.000
Sn2 0.091 0.286 0.508
Pd1 0.000 0.500 0.750
Pd2 0.105 0.788 0.231
```


Record 12
The following is a DFT calculation (PBE-GGA) of a relaxed TaCoNiB crystal.

Values from the calculation:
Offset from the most stable computed form = 0 meV per atom
Total magnetization = 0.00 μB per formula unit

Structure (CIF):
```
data_TaCoNiB
_space_group_name_H-M_alt 'F -4 3 m'
_space_group_IT_number 216
_space_group_name_Hall 'F -4 2 3'
_cell_length_a 5.643
_cell_length_b 5.643
_cell_length_c 5.643
_cell_angle_alpha 90.00
_cell_angle_beta 90.00
_cell_angle_gamma 90.00
loop_
_atom_site_label
_atom_site_fract_x
_atom_site_fract_y
_atom_site_fract_z
Ta1 0.000 0.000 0.000
Co1 0.000 0.000 0.500
Ni1 0.250 0.250 0.750
B1 0.250 0.250 0.250
```


Record 13
The following is a DFT calculation (PBE-GGA) of a relaxed ZrSiNiPt crystal.

Values from the calculation:
Total magnetization = 0.00 μB per formula unit

Structure (CIF):
```
data_ZrSiNiPt
_space_group_name_H-M_alt 'F -4 3 m'
_space_group_IT_number 216
_space_group_name_Hall 'F -4 2 3'
_cell_length_a 6.282
_cell_length_b 6.282
_cell_length_c 6.282
_cell_angle_alpha 90.00
_cell_angle_beta 90.00
_cell_angle_gamma 90.00
loop_
_atom_site_label
_atom_site_fract_x
_atom_site_fract_y
_atom_site_fract_z
Zr1 0.000 0.000 0.000
Si1 0.000 0.000 0.500
Ni1 0.250 0.250 0.750
Pt1 0.250 0.250 0.250
```


Record 14
The following is a DFT calculation (PBE-GGA) of a relaxed TaBiO3 crystal.

Values from the calculation:
Total magnetization = 0.00 μB per formula unit

Structure (CIF):
```
data_TaBiO3
_space_group_name_H-M_alt 'P n m a'
_space_group_IT_number 62
_cell_length_a 5.732
_cell_length_b 8.179
_cell_length_c 5.638
_cell_angle_alpha 90.00
_cell_angle_beta 90.00
_cell_angle_gamma 90.00
loop_
_space_group_symop_operation_xyz
'x,y,z'
'-x,-y,-z'
'-x+1/2,-y,z+1/2'
'x+1/2,y,-z+1/2'
'x+1/2,-y+1/2,-z+1/2'
'-x+1/2,y+1/2,z+1/2'
'-x,y+1/2,-z'
'x,-y+1/2,z'
loop_
_atom_site_label
_atom_site_fract_x
_atom_site_fract_y
_atom_site_fract_z
Ta1 0.000 0.000 0.000
Bi1 0.005 0.250 0.497
O1 0.013 0.250 0.996
O2 0.197 0.000 0.305
```


Record 15
The following is a DFT calculation (PBE-GGA) of a relaxed Be2NbMo2 crystal.

Values from the calculation:
Total magnetization = 0.00 μB per formula unit

Structure (CIF):
```
data_Be2NbMo2
_space_group_name_H-M_alt 'P 4/m b m'
_space_group_IT_number 127
_space_group_name_Hall '-P 4 2ab'
_cell_length_a 6.330
_cell_length_b 6.330
_cell_length_c 3.258
_cell_angle_alpha 90.00
_cell_angle_beta 90.00
_cell_angle_gamma 90.00
loop_
_atom_site_label
_atom_site_fract_x
_atom_site_fract_y
_atom_site_fract_z
Be1 0.115 0.385 0.000
Nb1 0.000 0.000 0.000
Mo1 0.177 0.677 0.500
```


Record 16
The following is a DFT calculation (PBE-GGA) of a relaxed RbZrAgSeS2 crystal.

Values from the calculation:
Offset from the most stable computed form = 62 meV per atom
Total magnetization = 0.00 μB per formula unit

Structure (CIF):
```
data_RbZrAgSeS2
_space_group_name_H-M_alt 'C m c m'
_space_group_IT_number 63
_space_group_name_Hall '-C 2c 2'
_cell_length_a 3.892
_cell_length_b 15.371
_cell_length_c 10.415
_cell_angle_alpha 90.00
_cell_angle_beta 90.00
_cell_angle_gamma 90.00
loop_
_atom_site_label
_atom_site_fract_x
_atom_site_fract_y
_atom_site_fract_z
Rb1 0.000 0.247 0.250
Zr1 0.000 0.000 0.000
Ag1 0.000 0.455 0.750
Se1 0.000 0.070 0.750
S1 0.000 0.387 0.536
```


Record 17
The following is a DFT calculation (PBE-GGA) of a relaxed KHoSn crystal.

Values from the calculation:
Offset from the most stable computed form = 0 meV per atom
Total magnetization = 0.00 μB per formula unit

Structure (CIF):
```
data_KHoSn
_space_group_name_H-M_alt 'F -4 3 m'
_space_group_IT_number 216
_space_group_name_Hall 'F -4 2 3'
_cell_length_a 7.496
_cell_length_b 7.496
_cell_length_c 7.496
_cell_angle_alpha 90.00
_cell_angle_beta 90.00
_cell_angle_gamma 90.00
loop_
_atom_site_label
_atom_site_fract_x
_atom_site_fract_y
_atom_site_fract_z
K1 0.000 0.000 0.000
Ho1 0.250 0.250 0.250
Sn1 0.000 0.000 0.500
```


Record 18
The following is a DFT calculation (PBE-GGA) of a relaxed Rb2Cd5Sn3 crystal.

Structure (CIF):
```
data_Rb2Cd5Sn3
_space_group_name_H-M_alt 'I 4/m m m'
_space_group_IT_number 139
_space_group_name_Hall '-I 4 2'
_cell_length_a 5.038
_cell_length_b 5.038
_cell_length_c 24.044
_cell_angle_alpha 90.00
_cell_angle_beta 90.00
_cell_angle_gamma 90.00
loop_
_atom_site_label
_atom_site_fract_x
_atom_site_fract_y
_atom_site_fract_z
Rb1 0.000 0.000 0.195
Cd1 0.000 0.000 0.500
Cd2 0.000 0.500 0.077
Sn1 0.000 0.000 0.000
Sn2 0.000 0.000 0.356
```


Record 19
The following is a DFT calculation (PBE-GGA) of a relaxed TaNb2Ge2 crystal.

Values from the calculation:
Offset from the most stable computed form = 80 meV per atom
Total magnetization = 0.01 μB per formula unit

Structure (CIF):
```
data_TaNb2Ge2
_space_group_name_H-M_alt 'I 4/m m m'
_space_group_IT_number 139
_space_group_name_Hall '-I 4 2'
_cell_length_a 3.600
_cell_length_b 3.600
_cell_length_c 13.679
_cell_angle_alpha 90.00
_cell_angle_beta 90.00
_cell_angle_gamma 90.00
loop_
_atom_site_label
_atom_site_fract_x
_atom_site_fract_y
_atom_site_fract_z
Ta1 0.000 0.000 0.000
Nb1 0.000 0.000 0.398
Ge1 0.000 0.500 0.250
```


Record 20
The following is a DFT calculation (PBE-GGA) of a relaxed Cs2AgPdO4 crystal.

Structure (CIF):
```
data_Cs2AgPdO4
_space_group_name_H-M_alt 'A m m 2'
_space_group_IT_number 38
_cell_length_a 6.032
_cell_length_b 5.140
_cell_length_c 12.190
_cell_angle_alpha 90.00
_cell_angle_beta 90.00
_cell_angle_gamma 90.00
loop_
_space_group_symop_operation_xyz
'x,y,z'
'-x,-y,z'
'-x,y,z'
'x,-y,z'
'x,y+1/2,z+1/2'
'-x,-y+1/2,z+1/2'
'-x,y+1/2,z+1/2'
'x,-y+1/2,z+1/2'
loop_
_atom_site_label
_atom_site_fract_x
_atom_site_fract_y
_atom_site_fract_z
Cs1 0.000 0.000 0.000
Cs2 0.500 0.000 0.375
Ag1 0.500 0.000 0.684
Pd1 0.000 0.000 0.690
O1 0.244 0.000 0.578
O2 0.254 0.000 0.796
```


| no. | DFT total energy (eV/atom) |
| --- | --- |
| 1 | -4.72 |
| 2 | -5.13 |
| 3 | -4.25 |
| 4 | -2.10 |
| 5 | -5.70 |
| 6 | -6.89 |
| 7 | -7.15 |
| 8 | -4.14 |
| 9 | -3.31 |
| 10 | -8.08 |
| 11 | -6.43 |
| 12 | -7.74 |
| 13 | -7.00 |
| 14 | -7.87 |
| 15 | -8.06 |
| 16 | -5.11 |
| 17 | -3.11 |
| 18 | -1.93 |
| 19 | -8.08 |
| 20 | -4.41 |